# AlTeAuI2 | Alexandria via LeMat-Bulk | meta-GGA SCAN | single point on PBEsol structure
data_AlTeAuI2
_cell_length_a 5.5227
_cell_length_b 5.5227
_cell_length_c 5.4155
_cell_angle_alpha 90.00
_cell_angle_beta 90.00
_cell_angle_gamma 90.00
_space_group_name_H-M_alt 'P 4/m m m'
_space_group_IT_number 123
_space_group_name_Hall '-P 4 2'
loop_
_atom_site_label
_atom_site_type_symbol
_atom_site_fract_x
_atom_site_fract_y
_atom_site_fract_z
Al1 Al 0.0000 0.0000 0.0000
Te1 Te 0.5000 0.5000 0.0000
Au1 Au 0.5000 0.5000 0.5000
I1 I 0.0000 0.5000 0.5000
# Calculated total energy = -186.06 eV per formula unit

# AlIn2Au | Alexandria via LeMat-Bulk | meta-GGA SCAN | single point on PBEsol structure
data_AlIn2Au
_cell_length_a 4.4258
_cell_length_b 4.4258
_cell_length_c 8.3116
_cell_angle_alpha 90.00
_cell_angle_beta 90.00
_cell_angle_gamma 90.00
_space_group_name_H-M_alt 'I -4 m 2'
_space_group_IT_number 119
_space_group_name_Hall 'I -4 -2'
loop_
_atom_site_label
_atom_site_type_symbol
_atom_site_fract_x
_atom_site_fract_y
_atom_site_fract_z
Al1 Al 0.0000 0.0000 0.0000
In1 In 0.0000 0.0000 0.5000
In2 In 0.0000 0.5000 0.7500
Au1 Au 0.0000 0.5000 0.2500
# Formation energy = 0.034 eV per atom

# AlIn2Au | Alexandria via LeMat-Bulk | meta-GGA SCAN | single point on PBEsol structure
data_AlIn2Au
_cell_length_a 4.4033
_cell_length_b 4.4675
_cell_length_c 8.2082
_cell_angle_alpha 90.00
_cell_angle_beta 90.00
_cell_angle_gamma 90.00
_space_group_name_H-M_alt 'C m m m'
_space_group_IT_number 65
_space_group_name_Hall '-C 2 2'
loop_
_atom_site_label
_atom_site_type_symbol
_atom_site_fract_x
_atom_site_fract_y
_atom_site_fract_z
Al1 Al 0.0000 0.0000 0.0000
In1 In 0.0000 0.5000 0.2613
Au1 Au 0.0000 0.0000 0.5000
# Formation energy = 0.008 eV per atom

# AlInAu2 | Alexandria via LeMat-Bulk | meta-GGA SCAN | single point on PBEsol structure
data_AlInAu2
_cell_length_a 4.3991
_cell_length_b 4.3991
_cell_length_c 3.7078
_cell_angle_alpha 90.00
_cell_angle_beta 90.00
_cell_angle_gamma 90.00
_space_group_name_H-M_alt 'P 4/m m m'
_space_group_IT_number 123
_space_group_name_Hall '-P 4 2'
loop_
_atom_site_label
_atom_site_type_symbol
_atom_site_fract_x
_atom_site_fract_y
_atom_site_fract_z
Al1 Al 0.0000 0.0000 0.0000
In1 In 0.5000 0.5000 0.0000
Au1 Au 0.0000 0.5000 0.5000
# Formation energy = -0.186 eV per atom

# AlIn2Au | Alexandria via LeMat-Bulk | meta-GGA SCAN | single point on PBEsol structure
data_AlIn2Au
_cell_length_a 4.2240
_cell_length_b 4.0873
_cell_length_c 9.8184
_cell_angle_alpha 90.00
_cell_angle_beta 90.00
_cell_angle_gamma 90.00
_space_group_name_H-M_alt 'A m m 2'
_space_group_IT_number 38
loop_
_space_group_symop_operation_xyz
'x,y,z'
'-x,-y,z'
'-x,y,z'
'x,-y,z'
'x,y+1/2,z+1/2'
'-x,-y+1/2,z+1/2'
'-x,y+1/2,z+1/2'
'x,-y+1/2,z+1/2'
loop_
_atom_site_label
_atom_site_type_symbol
_atom_site_fract_x
_atom_site_fract_y
_atom_site_fract_z
Al1 Al 0.0000 0.0000 0.0000
In1 In 0.0000 0.0000 0.2790
In2 In 0.5000 0.0000 0.5716
Au1 Au 0.5000 0.0000 0.8547
# Formation energy = -0.182 eV per atom

# Al2InAu | Alexandria via LeMat-Bulk | meta-GGA SCAN | single point on PBEsol structure
data_Al2InAu
_cell_length_a 3.2674
_cell_length_b 3.2674
_cell_length_c 24.5904
_cell_angle_alpha 90.00
_cell_angle_beta 90.00
_cell_angle_gamma 120.00
_space_group_name_H-M_alt 'R -3 m'
_space_group_IT_number 166
_space_group_name_Hall '-R 3 2"'
loop_
_atom_site_label
_atom_site_type_symbol
_atom_site_fract_x
_atom_site_fract_y
_atom_site_fract_z
Al1 Al 0.0000 0.0000 0.2407
In1 In 0.0000 0.0000 0.0000
Au1 Au 0.0000 0.0000 0.5000
# Formation energy = -0.218 eV per atom

# Al2InAu | Alexandria via LeMat-Bulk | meta-GGA SCAN | single point on PBEsol structure
data_Al2InAu
_cell_length_a 8.3522
_cell_length_b 3.2187
_cell_length_c 5.7904
_cell_angle_alpha 90.00
_cell_angle_beta 103.45
_cell_angle_gamma 90.00
_space_group_name_H-M_alt 'C 1 2/m 1'
_space_group_IT_number 12
loop_
_space_group_symop_operation_xyz
'x,y,z'
'-x,-y,-z'
'-x,y,-z'
'x,-y,z'
'x+1/2,y+1/2,z'
'-x+1/2,-y+1/2,-z'
'-x+1/2,y+1/2,-z'
'x+1/2,-y+1/2,z'
loop_
_atom_site_label
_atom_site_type_symbol
_atom_site_fract_x
_atom_site_fract_y
_atom_site_fract_z
Al1 Al 0.2416 0.0000 0.2068
In1 In 0.0000 0.0000 0.5000
Au1 Au 0.0000 0.5000 0.0000
# Formation energy = -0.212 eV per atom

# AlIn2Au | Alexandria via LeMat-Bulk | meta-GGA SCAN | single point on PBEsol structure
data_AlIn2Au
_cell_length_a 4.1842
_cell_length_b 4.3983
_cell_length_c 4.4266
_cell_angle_alpha 90.00
_cell_angle_beta 90.00
_cell_angle_gamma 90.00
_space_group_name_H-M_alt 'P m m m'
_space_group_IT_number 47
loop_
_space_group_symop_operation_xyz
'x,y,z'
'-x,-y,-z'
'-x,-y,z'
'x,y,-z'
'x,-y,-z'
'-x,y,z'
'-x,y,-z'
'x,-y,z'
loop_
_atom_site_label
_atom_site_type_symbol
_atom_site_fract_x
_atom_site_fract_y
_atom_site_fract_z
Al1 Al 0.0000 0.0000 0.0000
In1 In 0.0000 0.5000 0.5000
In2 In 0.5000 0.5000 0.0000
Au1 Au 0.5000 0.0000 0.5000
# Formation energy = 0.028 eV per atom

# AlIn2Au | Alexandria via LeMat-Bulk | meta-GGA SCAN | single point on PBEsol structure
data_AlIn2Au
_cell_length_a 4.4594
_cell_length_b 4.4594
_cell_length_c 8.2146
_cell_angle_alpha 90.00
_cell_angle_beta 90.00
_cell_angle_gamma 90.00
_space_group_name_H-M_alt 'I 4/m m m'
_space_group_IT_number 139
_space_group_name_Hall '-I 4 2'
loop_
_atom_site_label
_atom_site_type_symbol
_atom_site_fract_x
_atom_site_fract_y
_atom_site_fract_z
Al1 Al 0.0000 0.0000 0.0000
In1 In 0.0000 0.5000 0.2500
Au1 Au 0.0000 0.0000 0.5000
# Formation energy = 0.049 eV per atom

# AlInAu4 | Alexandria via LeMat-Bulk | meta-GGA SCAN | single point on PBEsol structure
data_AlInAu4
_cell_length_a 7.6931
_cell_length_b 7.6931
_cell_length_c 7.6931
_cell_angle_alpha 90.00
_cell_angle_beta 90.00
_cell_angle_gamma 90.00
_space_group_name_H-M_alt 'F -4 3 m'
_space_group_IT_number 216
_space_group_name_Hall 'F -4 2 3'
loop_
_atom_site_label
_atom_site_type_symbol
_atom_site_fract_x
_atom_site_fract_y
_atom_site_fract_z
Al1 Al 0.0000 0.0000 0.0000
In1 In 0.2500 0.2500 0.7500
Au1 Au 0.1252 0.1252 0.3748
# Formation energy = 0.022 eV per atom

# AlIn2Au | Alexandria via LeMat-Bulk | meta-GGA SCAN | single point on PBEsol structure
data_AlIn2Au
_cell_length_a 5.7770
_cell_length_b 8.2966
_cell_length_c 3.3896
_cell_angle_alpha 90.00
_cell_angle_beta 90.00
_cell_angle_gamma 90.00
_space_group_name_H-M_alt 'C m m m'
_space_group_IT_number 65
_space_group_name_Hall '-C 2 2'
loop_
_atom_site_label
_atom_site_type_symbol
_atom_site_fract_x
_atom_site_fract_y
_atom_site_fract_z
Al1 Al 0.0000 0.0000 0.0000
In1 In 0.2500 0.2500 0.5000
Au1 Au 0.0000 0.5000 0.0000
# Formation energy = 0.000 eV per atom

# Al2Ir2Au | Alexandria via LeMat-Bulk | meta-GGA SCAN | single point on PBEsol structure
data_Al2Ir2Au
_cell_length_a 7.2017
_cell_length_b 7.2017
_cell_length_c 2.8698
_cell_angle_alpha 90.00
_cell_angle_beta 90.00
_cell_angle_gamma 90.00
_space_group_name_H-M_alt 'P 4/m b m'
_space_group_IT_number 127
_space_group_name_Hall '-P 4 2ab'
loop_
_atom_site_label
_atom_site_type_symbol
_atom_site_fract_x
_atom_site_fract_y
_atom_site_fract_z
Al1 Al 0.1548 0.3452 0.0000
Ir1 Ir 0.1424 0.6424 0.5000
Au1 Au 0.0000 0.0000 0.5000
# Formation energy = -0.677 eV per atom

no.,M_tot (μB per cell)
1,0.00
2,0.00
3,0.00
4,0.00
5,0.00
6,0.00
7,0.00
8,0.00
9,0.00
10,0.00
11,0.00
12,0.00